# 1
Compound: Tb6SiBr8
Source: Alexandria
Functional: PBE-GGA
Structure: optimized geometry

It has space group R-3 (No. 148, hexagonal axes), with a = 7.1927 Å, b = 7.1927 Å, c = 31.6479 Å, α = 90.00°, β = 90.00° and γ = 120.00°. The asymmetric unit holds Tb at (0.0001, 0.2980, 0.0508), Si at (0.0000, 0.0000, 0.0000), Br at (0.0000, 0.0000, 0.3333) and Br at (0.0001, 0.3451, 0.8949).

As for the size of the total moment: 0.00 μB per formula unit. As for the density of states at the Fermi level: 11.6 states/eV per cell. As for the total DFT energy (no corrections): -203.518 eV/cell.


# 2
Compound: CaMgCd2Ni
Source: Alexandria
Functional: PBE-GGA
Structure: optimized geometry

It has space group P4/mmm (No. 123), with a = 5.025 Å, b = 5.025 Å, c = 4.782 Å, α = 90.00°, β = 90.00° and γ = 90.00°. The asymmetric unit holds Ca at (0.000, 0.000, 0.000), Mg at (0.500, 0.500, 0.000), Cd at (0.000, 0.500, 0.500) and Ni at (0.500, 0.500, 0.500).

As for the size of the total moment: 0.00 μB per formula unit. As for the density of states at the Fermi level: 2.7 states/eV per cell. As for the total DFT energy (no corrections): -11.675 eV/cell.


# 3
Compound: TbCd4In
Source: Alexandria
Functional: PBE-GGA
Structure: optimized geometry

It has space group F-43m (No. 216), with a = 8.405 Å, b = 8.405 Å, c = 8.405 Å, α = 90.00°, β = 90.00° and γ = 90.00°. The asymmetric unit holds Tb at (0.000, 0.000, 0.000), Cd at (0.125, 0.125, 0.625) and In at (0.250, 0.250, 0.250).

The value obtained for the distance to the lowest polymorph of the same formula is 120 meV/atom. As for the size of the total moment: 0.00 μB per formula unit. As for the density of states at the Fermi level: 20.8 states/eV per cell. As for the total DFT energy (no corrections): -46.238 eV/cell.


# 4
Compound: SrIn3Br
Source: Alexandria
Functional: PBE-GGA
Structure: optimized geometry

It has space group Pm-3m (No. 221), with a = 6.468 Å, b = 6.468 Å, c = 6.468 Å, α = 90.00°, β = 90.00° and γ = 90.00°. The asymmetric unit holds Sr at (0.000, 0.000, 0.000), In at (0.000, 0.000, 0.500) and Br at (0.500, 0.500, 0.500).

The value obtained for the distance to the lowest polymorph of the same formula is 504 meV/atom. As for the size of the total moment: 1.34 μB per formula unit. As for the density of states at the Fermi level: 12.5 states/eV per cell. As for the total DFT energy (no corrections): -9.140 eV/cell.


# 5
Compound: Tb3Sm4Ho
Source: Alexandria
Functional: PBE-GGA
Structure: optimized geometry

It has space group C2/m (No. 12), with a = 23.483 Å, b = 3.493 Å, c = 6.788 Å, α = 90.00°, β = 106.72° and γ = 90.00°. The asymmetric unit holds Tb at (0.000, 0.000, 0.000), Tb at (0.123, 0.000, 0.382), Sm at (0.124, 0.000, 0.867), Sm at (0.240, 0.500, 0.738) and Ho at (0.000, 0.500, 0.500).

The value obtained for the distance to the lowest polymorph of the same formula is 142 meV/atom. As for the size of the total moment: 0.00 μB per formula unit. As for the density of states at the Fermi level: 27.9 states/eV per cell. As for the total DFT energy (no corrections): -72.054 eV/cell.


# 6
Compound: BaNaPrNbO6
Source: Alexandria
Functional: PBE-GGA
Structure: optimized geometry

It has space group F-43m (No. 216), with a = 8.730 Å, b = 8.730 Å, c = 8.730 Å, α = 90.00°, β = 90.00° and γ = 90.00°. The asymmetric unit holds Ba at (0.000, 0.000, 0.000), Na at (0.000, 0.000, 0.500), Pr at (0.250, 0.250, 0.750), Nb at (0.250, 0.250, 0.250) and O at (0.019, 0.250, 0.250).

As for the size of the total moment: 1.07 μB per formula unit. As for the density of states at the Fermi level: 22.6 states/eV per cell. As for the total DFT energy (no corrections): -290.227 eV/cell.


# 7
Compound: CaTbSm2
Source: Alexandria
Functional: PBE-GGA
Structure: optimized geometry

It has space group R3m (No. 160, hexagonal axes), with a = 3.6402 Å, b = 3.6402 Å, c = 36.4013 Å, α = 90.00°, β = 90.00° and γ = 120.00°. The asymmetric unit holds Ca at (0.0000, 0.0000, 0.0000), Tb at (0.0000, 0.0000, 0.1661), Sm at (0.0000, 0.0000, 0.5783) and Sm at (0.0000, 0.0000, 0.7543).

The value obtained for the distance to the lowest polymorph of the same formula is 0 meV/atom. As for the size of the total moment: 0.00 μB per formula unit. As for the density of states at the Fermi level: 16.2 states/eV per cell. As for the total DFT energy (no corrections): -47.667 eV/cell.


# 8
Compound: La3N2F
Source: Alexandria
Functional: PBE-GGA
Structure: optimized geometry

It has space group Imma (No. 74), with a = 6.719 Å, b = 11.995 Å, c = 7.171 Å, α = 90.00°, β = 90.00° and γ = 90.00°. The asymmetric unit holds La at (0.248, 0.000, 0.000), La at (0.250, 0.250, 0.250), N at (0.000, 0.087, 0.172) and F at (0.000, 0.250, 0.504).

The value obtained for the distance to the lowest polymorph of the same formula is 280 meV/atom. As for the size of the total moment: 0.00 μB per formula unit. As for the density of states at the Fermi level: 7.1 states/eV per cell. As for the total DFT energy (no corrections): -166.630 eV/cell.


# 9
Compound: CaZrSi
Source: Alexandria
Functional: PBE-GGA
Structure: optimized geometry

It has space group P3m1 (No. 156), with a = 4.4898 Å, b = 4.4898 Å, c = 4.3220 Å, α = 90.00°, β = 90.00° and γ = 120.00°. The asymmetric unit holds Ca at (0.0000, 0.0000, 0.0000), Zr at (0.6667, 0.3333, 0.5152) and Si at (0.3333, 0.6667, 0.3779).

As for the size of the total moment: 0.00 μB per formula unit. As for the density of states at the Fermi level: 2.1 states/eV per cell. As for the total DFT energy (no corrections): -16.146 eV/cell.


# 10
Compound: Ta2ReAsIr
Source: Alexandria
Functional: PBE-GGA
Structure: optimized geometry

It has space group P4/mmm (No. 123), with a = 4.887 Å, b = 4.887 Å, c = 4.430 Å, α = 90.00°, β = 90.00° and γ = 90.00°. The asymmetric unit holds Ta at (0.000, 0.500, 0.000), Re at (0.000, 0.000, 0.500), As at (0.500, 0.500, 0.500) and Ir at (0.500, 0.500, 0.000).

As for the size of the total moment: 0.27 μB per formula unit. As for the density of states at the Fermi level: 5.0 states/eV per cell. As for the total DFT energy (no corrections): -42.043 eV/cell.


# 11
Compound: SmTm4Ru5
Source: Alexandria
Functional: PBE-GGA
Structure: optimized geometry

It has space group P4/mmm (No. 123), with a = 3.379 Å, b = 3.379 Å, c = 16.868 Å, α = 90.00°, β = 90.00° and γ = 90.00°. The asymmetric unit holds Sm at (0.000, 0.000, 0.000), Tm at (0.000, 0.000, 0.204), Tm at (0.000, 0.000, 0.401), Ru at (0.500, 0.500, 0.105), Ru at (0.500, 0.500, 0.302) and Ru at (0.500, 0.500, 0.500).

As for the size of the total moment: 0.00 μB per formula unit. As for the density of states at the Fermi level: 12.6 states/eV per cell. As for the total DFT energy (no corrections): -72.600 eV/cell.


# 12
Compound: Zr2AgAu
Source: Alexandria
Functional: PBE-GGA
Structure: optimized geometry

It has space group P2/m (No. 10), with a = 3.091 Å, b = 4.255 Å, c = 6.054 Å, α = 90.00°, β = 90.53° and γ = 90.00°. The asymmetric unit holds Zr at (0.000, 0.000, 0.246), Ag at (0.500, 0.500, 0.500) and Au at (0.500, 0.500, 0.000).

As for the size of the total moment: 0.00 μB per formula unit. As for the density of states at the Fermi level: 4.0 states/eV per cell. As for the total DFT energy (no corrections): -24.228 eV/cell.